# PBE-GGA HfTiCo, optimized geometry
data_HfTiCo
_chemical_formula_sum 'Hf2 Ti2 Co2'
_cell_length_a 3.267
_cell_length_b 5.051
_cell_length_c 6.492
_cell_angle_alpha 102.65
_cell_angle_beta 104.54
_cell_angle_gamma 90.10
_space_group_name_H-M_alt 'P -1'
_space_group_IT_number 2
loop_
_space_group_symop_operation_xyz
'x,y,z'
'-x,-y,-z'
loop_
_atom_site_label
_atom_site_fract_x
_atom_site_fract_y
_atom_site_fract_z
Hf1 0.142 0.327 0.283
Ti1 0.428 0.222 0.859
Co1 0.221 0.838 0.443
# total moment: 0.00 Bohr magnetons per cell
# energy relative to the elements: -0.179 eV per atom